1.
Below is crystalline YTm2Sc3P6 at its relaxed geometry, with properties calculated at the PBE level.

```
data_YTm2Sc3P6
_cell_length_a 6.7001
_cell_length_b 11.6041
_cell_length_c 6.6824
_cell_angle_alpha 90.00
_cell_angle_beta 109.50
_cell_angle_gamma 90.00
_space_group_name_H-M_alt 'C 1 2/m 1'
_space_group_IT_number 12
_space_group_name_Hall '-C 2y'
loop_
_atom_site_label
_atom_site_fract_x
_atom_site_fract_y
_atom_site_fract_z
Y1 0.0000 0.0000 0.0000
Tm1 0.0000 0.3332 0.0000
Sc1 0.0000 0.1662 0.5000
Sc2 0.0000 0.5000 0.5000
P1 0.2444 0.3321 0.7369
P2 0.2481 0.0000 0.7370
```

**Energy**: -7.11 eV per atom
**Energy of formation**: -1.54 eV/atom
**Mass density**: 5.1 g/cm3



2.
Below is crystalline YTm2ScP4 at its relaxed geometry, with properties calculated at the PBE level.

```
data_YTm2ScP4
_cell_length_a 6.7867
_cell_length_b 3.9228
_cell_length_c 6.7899
_cell_angle_alpha 90.00
_cell_angle_beta 109.47
_cell_angle_gamma 90.00
_space_group_name_H-M_alt 'P 1 2/m 1'
_space_group_IT_number 10
_space_group_name_Hall '-P 2y'
loop_
_atom_site_label
_atom_site_fract_x
_atom_site_fract_y
_atom_site_fract_z
Y1 0.0000 0.0000 0.0000
Tm1 0.0000 0.5000 0.5000
Tm2 0.5000 0.0000 0.5000
Sc1 0.5000 0.5000 0.0000
P1 0.2565 0.5000 0.2493
P2 0.2587 0.0000 0.7559
```

**Energy**: -6.99 eV per atom
**Energy of formation**: -1.57 eV/atom
**Mass density**: 5.8 g/cm3



3.
Below is crystalline TmZrSc2P4 at its relaxed geometry, with properties calculated at the PBE level.

```
data_TmZrSc2P4
_cell_length_a 6.5527
_cell_length_b 3.7981
_cell_length_c 6.5810
_cell_angle_alpha 90.00
_cell_angle_beta 109.37
_cell_angle_gamma 90.00
_space_group_name_H-M_alt 'P 1 2/m 1'
_space_group_IT_number 10
_space_group_name_Hall '-P 2y'
loop_
_atom_site_label
_atom_site_fract_x
_atom_site_fract_y
_atom_site_fract_z
Tm1 0.0000 0.0000 0.0000
Zr1 0.0000 0.5000 0.5000
Sc1 0.5000 0.0000 0.5000
Sc2 0.5000 0.5000 0.0000
P1 0.2543 0.0000 0.7463
P2 0.2579 0.5000 0.2581
```

**Energy**: -7.41 eV per atom
**Energy of formation**: -1.50 eV/atom
**Mass density**: 5.1 g/cm3



4.
Below is crystalline TmZr2ScP4 at its relaxed geometry, with properties calculated at the PBE level.

```
data_TmZr2ScP4
_cell_length_a 6.5454
_cell_length_b 3.7761
_cell_length_c 6.6197
_cell_angle_alpha 90.00
_cell_angle_beta 109.29
_cell_angle_gamma 90.00
_space_group_name_H-M_alt 'P 1 2/m 1'
_space_group_IT_number 10
_space_group_name_Hall '-P 2y'
loop_
_atom_site_label
_atom_site_fract_x
_atom_site_fract_y
_atom_site_fract_z
Tm1 0.0000 0.0000 0.0000
Zr1 0.0000 0.5000 0.5000
Zr2 0.5000 0.0000 0.5000
Sc1 0.5000 0.5000 0.0000
P1 0.2541 0.0000 0.7478
P2 0.2567 0.5000 0.2559
```

**Energy**: -7.64 eV per atom
**Energy of formation**: -1.45 eV/atom
**Mass density**: 5.6 g/cm3



5.
Below is crystalline ScU3P4 at its relaxed geometry, with properties calculated at the PBE level.

```
data_ScU3P4
_cell_length_a 6.7582
_cell_length_b 7.7825
_cell_length_c 6.7355
_cell_angle_alpha 90.00
_cell_angle_beta 109.51
_cell_angle_gamma 90.00
_space_group_name_H-M_alt 'P 1 2/c 1'
_space_group_IT_number 13
_space_group_name_Hall '-P 2yc'
loop_
_atom_site_label
_atom_site_fract_x
_atom_site_fract_y
_atom_site_fract_z
Sc1 0.0000 0.1233 0.2500
U1 0.0000 0.3731 0.7500
U2 0.5000 0.1238 0.7500
U3 0.5000 0.3744 0.2500
P1 0.2429 0.1209 0.9992
P2 0.2446 0.3704 0.4954
```

**Energy**: -8.82 eV per atom
**Energy of formation**: -1.09 eV/atom
**Mass density**: 8.8 g/cm3



6.
Below is crystalline ScUP at its relaxed geometry, with properties calculated at the PBE level.

```
data_ScUP
_cell_length_a 3.3925
_cell_length_b 4.2773
_cell_length_c 4.5635
_cell_angle_alpha 90.00
_cell_angle_beta 90.00
_cell_angle_gamma 90.00
_space_group_name_H-M_alt 'P m m m'
_space_group_IT_number 47
_space_group_name_Hall '-P 2 2'
loop_
_atom_site_label
_atom_site_fract_x
_atom_site_fract_y
_atom_site_fract_z
Sc1 0.0000 0.0000 0.0000
U1 0.0000 0.5000 0.5000
P1 0.5000 0.5000 0.0000
```

**Energy**: -8.00 eV per atom
**Energy of formation**: -0.32 eV/atom
**Mass density**: 7.9 g/cm3



- Look up the energy of the fourth one.
  -7.64 eV per atom



Repeat the fifth record exactly.
Below is crystalline ScU3P4 at its relaxed geometry, with properties calculated at the PBE level.

```
data_ScU3P4
_cell_length_a 6.7582
_cell_length_b 7.7825
_cell_length_c 6.7355
_cell_angle_alpha 90.00
_cell_angle_beta 109.51
_cell_angle_gamma 90.00
_space_group_name_H-M_alt 'P 1 2/c 1'
_space_group_IT_number 13
_space_group_name_Hall '-P 2yc'
loop_
_atom_site_label
_atom_site_fract_x
_atom_site_fract_y
_atom_site_fract_z
Sc1 0.0000 0.1233 0.2500
U1 0.0000 0.3731 0.7500
U2 0.5000 0.1238 0.7500
U3 0.5000 0.3744 0.2500
P1 0.2429 0.1209 0.9992
P2 0.2446 0.3704 0.4954
```

**Energy**: -8.82 eV per atom
**Energy of formation**: -1.09 eV/atom
**Mass density**: 8.8 g/cm3